# 1
Compound: Li17ZnCu11
Source: Alexandria via LeMat-Bulk
Functional: PBE
Structure: optimized geometry

Cell: 8.1085 8.1085 8.2251 Å, 109.42 109.42 108.84°
Closest atoms and distances in Å follow each position.
Fractional positions:
Li 0.0000 0.0000 0.0000  4 Li 2.59-2.84, 6 Cu 2.76-2.83
Li 0.9996 0.6933 0.7580  7 Li 2.62-2.92, 5 Cu 2.66-2.79
Li 0.0055 0.0055 0.3492  4 Li 2.84-2.88, 11 Cu 2.86-2.95, 1 Zn 2.96
Li 0.0076 0.6506 0.3485  4 Li 2.61-2.88, 5 Cu 2.80-2.87, 1 Zn 2.87
Li 0.2649 0.5840 0.9259  4 Cu 2.64-2.77, 7 Li 2.64-2.95, 1 Zn 2.75
Li 0.3036 0.3036 0.0677  5 Li 2.59-2.85, 4 Cu 2.70-2.72, 1 Zn 2.71
Li 0.3152 0.7301 0.6595  7 Li 2.61-2.90, 5 Cu 2.63-2.73
Li 0.3533 0.3533 0.6975  4 Li 2.62-2.87, 6 Cu 2.80-2.83
Li 0.4142 0.6893 0.3456  4 Cu 2.64-2.74, 7 Li 2.66-2.95, 1 Zn 2.74
Li 0.4141 0.9995 0.0342  7 Li 2.62-2.91, 5 Cu 2.67-2.75
Li 0.5840 0.2649 0.9259  4 Cu 2.64-2.77, 7 Li 2.64-2.95, 1 Zn 2.75
Li 0.5861 0.5861 0.6190  7 Li 2.62-2.87, 5 Cu 2.68-2.73
Li 0.6506 0.0076 0.3485  4 Li 2.61-2.88, 5 Cu 2.80-2.87, 1 Zn 2.87
Li 0.6893 0.4142 0.3456  4 Cu 2.64-2.74, 7 Li 2.66-2.95, 1 Zn 2.74
Li 0.6933 0.9996 0.7580  7 Li 2.62-2.92, 5 Cu 2.66-2.79
Li 0.7301 0.3152 0.6595  7 Li 2.61-2.90, 5 Cu 2.63-2.73
Li 0.9995 0.4141 0.0342  7 Li 2.62-2.91, 5 Cu 2.67-2.75
Zn 0.6279 0.6279 0.1568  3 Cu 2.49-2.51, 5 Li 2.71-2.75
Cu 0.0017 0.1872 0.7148  3 Cu 2.45-2.47, 5 Li 2.67-2.70
Cu 0.0025 0.3728 0.5307  3 Cu 2.45-2.49, 5 Li 2.66-2.73
Cu 0.1858 0.8183 0.1624  3 Cu 2.45-2.49, 3 Li 2.64-2.70
Cu 0.1872 0.0017 0.7148  3 Cu 2.45-2.47, 5 Li 2.67-2.70
Cu 0.1868 0.3726 0.3468  3 Cu 2.45-2.46, 5 Li 2.64-2.73
Cu 0.3728 0.0025 0.5307  3 Cu 2.45-2.49, 5 Li 2.66-2.73
Cu 0.3726 0.1868 0.3468  3 Cu 2.45-2.46, 5 Li 2.64-2.73
Cu 0.6315 0.8189 0.9736  2 Cu 2.45-2.47, 1 Zn 2.49, 4 Li 2.63-2.72
Cu 0.8183 0.1858 0.1624  3 Cu 2.45-2.49, 3 Li 2.64-2.70
Cu 0.8176 0.8176 0.5288  2 Cu 2.47, 1 Zn 2.51, 5 Li 2.67-2.74
Cu 0.8189 0.6315 0.9736  2 Cu 2.45-2.47, 1 Zn 2.49, 4 Li 2.63-2.72

Calculated values
magnetization	0.00	μB per formula unit
E_tot	-2.75	eV/atom
DOS(E_F)	0.3665	states/eV per atom
energy of formation	-0.030	eV/atom

# 2
Compound: Ca5VH2N4
Source: Alexandria via LeMat-Bulk
Functional: PBE
Structure: optimized geometry

Cell: 6.9146 5.5125 5.5125 Å, 117.22 90.00 90.00°
Closest atoms and distances in Å follow each position.
Fractional positions:
Ca 0.0000 0.0000 0.0000  2 N 2.28, 2 H 2.44
Ca 0.2733 0.3160 0.6721  3 N 2.40-2.42, 2 H 2.43-2.56
Ca 0.2733 0.6721 0.3160  3 N 2.40-2.42, 2 H 2.43-2.56
Ca 0.7267 0.3160 0.6721  3 N 2.40-2.42, 2 H 2.43-2.56
Ca 0.7267 0.6721 0.3160  3 N 2.40-2.42, 2 H 2.43-2.56
V 0.5000 0.0037 0.0037  4 N 1.84-1.85
H 0.0000 0.0076 0.5613  5 Ca 2.43-2.56
H 0.0000 0.5613 0.0076  5 Ca 2.43-2.56
N 0.2873 0.1955 0.1955  1 V 1.84
N 0.5000 0.6545 0.9735  1 V 1.85
N 0.5000 0.9735 0.6545  1 V 1.85
N 0.7127 0.1955 0.1955  1 V 1.84

Calculated values
magnetization	1.01	μB per formula unit
E_tot	-5.78	eV/atom
DOS(E_F)	0.0193	states/eV per atom

# 3
Compound: PuHf2Ga
Source: Alexandria via LeMat-Bulk
Functional: PBE
Structure: optimized geometry

Cell: 9.9174 9.9174 9.9174 Å, 18.53 18.53 18.53°
Closest atoms and distances in Å follow each position.
Fractional positions:
Pu 0.0000 0.0000 0.0000  6 Hf 3.17-3.19, 6 Pu 3.19
Hf 0.2443 0.2443 0.2443  3 Ga 2.93, 3 Pu 3.19, 6 Hf 3.19
Hf 0.4216 0.4216 0.4216  3 Ga 2.94, 3 Pu 3.17, 6 Hf 3.19
Ga 0.8332 0.8332 0.8332  6 Hf 2.93-2.94, 6 Ga 3.19

Calculated values
magnetization	5.06	μB per formula unit
E_tot	-9.35	eV/atom
energy above the most stable polymorph in this dataset	87	meV/atom
DOS(E_F)	1.6347	states/eV per atom
energy of formation	-0.032	eV/atom

# 4
Compound: BaHN
Source: Alexandria via LeMat-Bulk
Functional: PBE
Structure: optimized geometry

Cell: 4.3876 4.3876 5.9956 Å, 90.00 90.00 100.20°
Closest atoms and distances in Å follow each position.
Fractional positions:
Ba 0.1924 0.8076 0.7500  1 N 2.57, 2 H 2.83
Ba 0.8076 0.1924 0.2500  1 N 2.57, 2 H 2.83
H 0.3442 0.6558 0.2500  1 N 1.04
H 0.6558 0.3442 0.7500  1 N 1.04
N 0.1891 0.8109 0.2500  1 H 1.04
N 0.8109 0.1891 0.7500  1 H 1.04

Calculated values
magnetization	0.00	μB per formula unit
E_tot	-5.13	eV/atom

# 5
Compound: NaCu6Te4
Source: Alexandria via LeMat-Bulk
Functional: PBE
Structure: optimized geometry

Cell: 6.8941 6.8941 6.8941 Å, 121.89 121.89 86.76°
Closest atoms and distances in Å follow each position.
Fractional positions:
Na 0.0000 0.0000 0.0000  4 Te 2.94
Cu 0.0000 0.5000 0.5000  4 Cu 2.78, 4 Te 2.82
Cu 0.2543 0.5384 0.0000  4 Te 2.65-2.71, 5 Cu 2.69-2.82
Cu 0.4616 0.4616 0.7160  4 Te 2.65-2.71, 5 Cu 2.69-2.82
Cu 0.5000 0.0000 0.5000  4 Cu 2.78, 4 Te 2.82
Cu 0.5384 0.2543 0.0000  4 Te 2.65-2.71, 5 Cu 2.69-2.82
Cu 0.7457 0.7457 0.2840  4 Te 2.65-2.71, 5 Cu 2.69-2.82
Te 0.1124 0.1124 0.5301  6 Cu 2.65-2.82, 1 Na 2.94
Te 0.4177 0.8876 0.0000  6 Cu 2.65-2.82, 1 Na 2.94
Te 0.5823 0.5823 0.4699  6 Cu 2.65-2.82, 1 Na 2.94
Te 0.8876 0.4177 0.0000  6 Cu 2.65-2.82, 1 Na 2.94

Calculated values
magnetization	0.00	μB per formula unit
E_tot	-3.58	eV/atom
energy above the most stable polymorph in this dataset	28	meV/atom
DOS(E_F)	0.6390	states/eV per atom
formation energy (no corrections)	-0.085	eV/atom

# 6
Compound: LaS3F
Source: Alexandria via LeMat-Bulk
Functional: PBE
Structure: optimized geometry

Cell: 4.5208 4.5208 4.5208 Å, 90.00 90.00 90.00°
Closest atoms and distances in Å follow each position.
Fractional positions:
La 0.0000 0.0000 0.0000  12 S 3.20
S 0.0000 0.5000 0.5000  2 F 2.26
S 0.5000 0.0000 0.5000  2 F 2.26
S 0.5000 0.5000 0.0000  2 F 2.26
F 0.5000 0.5000 0.5000  6 S 2.26

Calculated values
magnetization	0.00	μB per formula unit
E_tot	-4.54	eV/atom
energy above the most stable polymorph in this dataset	0	meV/atom
DOS(E_F)	0.4357	states/eV per atom
formation energy (no corrections)	-0.700	eV/atom

Copy entry 2 word for word.
Compound: Ca5VH2N4
Source: Alexandria via LeMat-Bulk
Functional: PBE
Structure: optimized geometry

Cell: 6.9146 5.5125 5.5125 Å, 117.22 90.00 90.00°
Closest atoms and distances in Å follow each position.
Fractional positions:
Ca 0.0000 0.0000 0.0000  2 N 2.28, 2 H 2.44
Ca 0.2733 0.3160 0.6721  3 N 2.40-2.42, 2 H 2.43-2.56
Ca 0.2733 0.6721 0.3160  3 N 2.40-2.42, 2 H 2.43-2.56
Ca 0.7267 0.3160 0.6721  3 N 2.40-2.42, 2 H 2.43-2.56
Ca 0.7267 0.6721 0.3160  3 N 2.40-2.42, 2 H 2.43-2.56
V 0.5000 0.0037 0.0037  4 N 1.84-1.85
H 0.0000 0.0076 0.5613  5 Ca 2.43-2.56
H 0.0000 0.5613 0.0076  5 Ca 2.43-2.56
N 0.2873 0.1955 0.1955  1 V 1.84
N 0.5000 0.6545 0.9735  1 V 1.85
N 0.5000 0.9735 0.6545  1 V 1.85
N 0.7127 0.1955 0.1955  1 V 1.84

Calculated values
magnetization	1.01	μB per formula unit
E_tot	-5.78	eV/atom
DOS(E_F)	0.0193	states/eV per atom